Below is a relaxed HfBrF crystal, with properties calculated at the PBE level.

The calculated total energy is -6.44 eV per atom. Its crystal system is triclinic. Its raw formation energy is -5.8 eV/f.u. Its spin magnetization is 0.00 μB per formula unit. The volume comes out at 66.6 Å³/f.u.

The space group is P-1 (No. 2) and the conventional cell measures 3.245, 5.800 and 7.340 Å, with angles of 105.26, 92.40 and 90.00 degrees. Symmetry generates all atoms from Hf at (0.250, 0.214, 0.005), Br at (0.222, 0.815, 0.703) and F at (0.264, 0.612, 0.143).

Below is a relaxed Ca2FeAs crystal, with properties calculated at the PBE level.

Its density of states at the Fermi level is 4.03 states/eV/cell. The calculated total energy is -4.39 eV per atom. Its crystal system is tetragonal. Its spin magnetization is 1.39 μB per formula unit. The volume comes out at 93.7 Å³/f.u.

The space group is P4mm (No. 99) and the conventional cell measures 3.370, 3.370 and 8.252 Å, with angles of 90.00, 90.00 and 90.00 degrees. Symmetry generates all atoms from Ca at (0.000, 0.000, 0.000), Ca at (0.500, 0.500, 0.392), Fe at (0.000, 0.000, 0.651) and As at (0.500, 0.500, 0.752).

Below is a relaxed KTlIr2 crystal, with properties calculated at the PBE level.

Its density of states at the Fermi level is 12.35 states/eV/cell. The calculated total energy is -4.26 eV per atom. Its crystal system is tetragonal. The calculation puts the excess energy over the best structure of this formula in the dataset at 0.721 eV per atom. Its spin magnetization is 0.00 μB per formula unit. The volume comes out at 79.2 Å³/f.u.

The space group is I4/mmm (No. 139) and the conventional cell measures 4.212, 4.212 and 8.924 Å, with angles of 90.00, 90.00 and 90.00 degrees. Symmetry generates all atoms from K at (0.000, 0.000, 0.000), Tl at (0.000, 0.000, 0.500) and Ir at (0.000, 0.500, 0.250).

Below is a relaxed Tl2Pd8Pb crystal, with properties calculated at the PBE level.

Its density of states at the Fermi level is 8.28 states/eV/cell. The calculated total energy is -4.73 eV per atom. Its crystal system is orthorhombic. The calculation puts the excess energy over the best structure of this formula in the dataset at 0.000 eV per atom. Its spin magnetization is 0.00 μB per formula unit. The volume comes out at 200.2 Å³/f.u.

The space group is Immm (No. 71) and the conventional cell measures 4.108, 7.826 and 12.456 Å, with angles of 90.00, 90.00 and 90.00 degrees. Symmetry generates all atoms from Tl at (0.000, 0.000, 0.157), Pd at (0.000, 0.249, 0.333), Pd at (0.000, 0.253, 0.000), Pd at (0.000, 0.500, 0.171) and Pb at (0.000, 0.000, 0.500).

Below is a relaxed AgOs3 crystal, with properties calculated at the PBE level.

Its density of states at the Fermi level is 10.37 states/eV/cell. The calculated total energy is -8.39 eV per atom. Its crystal system is tetragonal. The calculation puts the excess energy over the best structure of this formula in the dataset at 0.477 eV per atom. Its spin magnetization is 0.00 μB per formula unit. The volume comes out at 59.7 Å³/f.u.

The space group is I4/mmm (No. 139) and the conventional cell measures 3.863, 3.863 and 7.997 Å, with angles of 90.00, 90.00 and 90.00 degrees. Symmetry generates all atoms from Ag at (0.000, 0.000, 0.000), Os at (0.000, 0.000, 0.500) and Os at (0.000, 0.500, 0.250).

Below is a relaxed SiTc2Ru crystal, with properties calculated at the PBE level.

Its density of states at the Fermi level is 3.80 states/eV/cell. The calculated total energy is -8.99 eV per atom. Its crystal system is orthorhombic. Its raw formation energy is -0.5 eV/f.u. Its spin magnetization is 0.00 μB per formula unit. The volume comes out at 56.3 Å³/f.u.

The space group is Pmm2 (No. 25) and the conventional cell measures 2.803, 3.844 and 5.221 Å, with angles of 90.00, 90.00 and 90.00 degrees. Symmetry generates all atoms from Si at (0.000, 0.000, 0.000), Tc at (0.000, 0.000, 0.493), Tc at (0.500, 0.500, 0.279) and Ru at (0.500, 0.500, 0.807).